First-principles (PBEsol) data for CoIr2Pt after structural relaxation, as listed in Alexandria via LeMat-Bulk.

Geometry as CIF:
```
data_CoIr2Pt
_space_group_name_H-M_alt 'I -4 m 2'
_space_group_IT_number 119
_space_group_name_Hall 'I -4 -2'
_cell_length_a 3.772
_cell_length_b 3.772
_cell_length_c 7.538
_cell_angle_alpha 90.00
_cell_angle_beta 90.00
_cell_angle_gamma 90.00
loop_
_atom_site_label
_atom_site_type_symbol
_atom_site_fract_x
_atom_site_fract_y
_atom_site_fract_z
Co1 Co 0.000 0.000 0.000
Ir1 Ir 0.000 0.000 0.500
Ir2 Ir 0.000 0.500 0.250
Pt1 Pt 0.000 0.500 0.750
```

Values from the calculation:
Energy of formation from the pure elements in eV per formula unit: 0.11
Density in g cm⁻³: 19.77
Distance to the lowest polymorph of the same formula in eV/atom: 0.0109